(1)
Tb2AlGe, optimized geometry, DFT GGA-PBE; final energy = -5.10 eV per atom; crystal system = orthorhombic; energy of formation from the pure elements = -696 meV/atom
1.0
0.588 3.161 -2.980
0.414 -2.793 -2.881
-5.689 -1.439 0.577
Al Ge Tb
1 1 2
Direct
0.521 0.500 0.042 Al
0.369 0.000 0.738 Ge
0.088 0.000 0.176 Tb
0.806 0.500 0.613 Tb


(2)
Tb5Al2Ge4, optimized geometry, DFT GGA-PBE; final energy = -4.91 eV per atom; crystal system = monoclinic; energy of formation from the pure elements = -447 meV/atom
1.0
-1.600 0.847 3.761
-0.792 -7.135 1.271
9.665 3.789 0.941
Tb Ge Al
5 4 2
Direct
0.844 0.110 0.688 Tb
0.837 0.613 0.673 Tb
0.500 0.000 0.000 Tb
0.163 0.387 0.327 Tb
0.156 0.890 0.312 Tb
0.288 0.287 0.575 Ge
0.712 0.713 0.425 Ge
0.009 0.306 0.018 Ge
0.991 0.694 0.982 Ge
0.574 0.518 0.148 Al
0.426 0.482 0.852 Al


(3)
Tb3AlGe, optimized geometry, DFT GGA-PBE; final energy = -4.90 eV per atom; crystal system = triclinic; energy of formation from the pure elements = -449 meV/atom
1.0
4.128 -0.003 -0.002
-2.069 7.558 -0.021
-0.004 -0.315 8.418
Ge Tb Al
2 6 2
Direct
0.414 0.861 0.272 Ge
0.629 0.293 0.149 Ge
0.072 0.177 0.389 Tb
0.259 0.550 0.032 Tb
0.785 0.604 0.389 Tb
0.430 0.891 0.622 Tb
0.972 0.978 0.033 Tb
0.614 0.263 0.800 Tb
0.816 0.665 0.777 Al
0.228 0.489 0.645 Al